The following is a DFT calculation (GGA-PBE) of a geometry-optimized Cd3GeB structure.

Lattice parameters (Å, degrees): 5.1716 5.1716 5.1716 90.00 90.00 90.00
Closest atoms and distances in Å follow each position.
Fractional positions:
B 0.5000 0.5000 0.5000  12 Cd 3.66
Cd 0.0000 0.5000 0.0000  2 Ge 2.59
Ge 0.0000 0.0000 0.0000  6 Cd 2.59
Cd 0.5000 0.0000 0.0000  2 Ge 2.59
Cd 0.0000 0.0000 0.5000  2 Ge 2.59

Properties
Calculated volume (Å³ per atom): 27.7
Space-group type: Pm-3m, No. 221
Calculated formation energy (eV/atom): 1.25

=====

The following is a DFT calculation (GGA-PBE) of a geometry-optimized Cd2GeB structure.

Lattice parameters (Å, degrees): 4.7157 4.7157 4.7157 60.00 60.00 60.00
Closest atoms and distances in Å follow each position.
Fractional positions:
Cd 0.7500 0.7500 0.7500  4 Ge 2.89, 4 B 2.89
Ge 0.5000 0.5000 0.5000  8 Cd 2.89
Cd 0.2500 0.2500 0.2500  4 Ge 2.89, 4 B 2.89
B 0.0000 0.0000 0.0000  8 Cd 2.89

Properties
Calculated volume (Å³ per atom): 18.5
Space-group type: Fm-3m, No. 225
Calculated formation energy (eV/atom): 0.95